Below is GaCoN2O after structural relaxation, with properties calculated at the PBE+U level.

Output
As for the electronic total energy: -0.357 Ry per atom. The magnetization is 5.17 μB per formula unit. As for the theoretical density: 4995 kg/m3.

Lattice parameters (Å, degrees): 3.8346 3.8346 3.9040 90.00 90.00 90.00
Closest atoms and distances in Å follow each position.
Space group P4/mmm (No. 123)
One atom of each set of equivalent atoms:
Ga1 0.0000 0.0000 0.0000 [1 per cell]  4 N 1.92, 2 O 1.95
Co1 0.5000 0.5000 0.5000 [1 per cell]  4 O 2.71, 8 N 2.74
N1 0.0000 0.5000 0.0000 [2 per cell]  2 Ga 1.92
O1 0.0000 0.0000 0.5000 [1 per cell]  2 Ga 1.95

=====

Below is GaCoN2O after structural relaxation, with properties calculated at the PBE+U level.

Output
As for the electronic total energy: -0.313 Ry per atom. The magnetization is 2.74 μB per formula unit. As for the theoretical density: 4889 kg/m3.

Lattice parameters (Å, degrees): 4.0425 4.0425 3.5885 90.00 90.00 90.00
Closest atoms and distances in Å follow each position.
Space group P4/mmm (No. 123)
One atom of each set of equivalent atoms:
Ga1 0.0000 0.0000 0.0000 [1 per cell]  2 O 1.79
Co1 0.5000 0.5000 0.0000 [1 per cell]  8 N 2.70, 4 Ga 2.86
N1 0.0000 0.5000 0.5000 [2 per cell]  2 O 2.02
O1 0.0000 0.0000 0.5000 [1 per cell]  2 Ga 1.79

=====

Below is GaCoN2O after structural relaxation, with properties calculated at the PBE+U level.

Output
As for the electronic total energy: -0.373 Ry per atom. The magnetization is 2.71 μB per formula unit. As for the theoretical density: 5506 kg/m3.

Lattice parameters (Å, degrees): 3.6149 3.6149 3.9849 90.00 90.00 90.00
Closest atoms and distances in Å follow each position.
Space group P4/mmm (No. 123)
One atom of each set of equivalent atoms:
Ga1 0.0000 0.0000 0.0000 [1 per cell]  4 O 2.56, 8 N 2.69
Co1 0.5000 0.5000 0.5000 [1 per cell]  4 N 1.81, 2 O 1.99
N1 0.0000 0.5000 0.5000 [2 per cell]  2 Co 1.81
O1 0.5000 0.5000 0.0000 [1 per cell]  2 Co 1.99